No. 1
Entry from Alexandria: a relaxed structure of GdEr2Mg (PBE).

Lattice parameters (Å, degrees): 5.4733 5.4733 5.4733 60.00 60.00 60.00
With the nearest neighbours (Å) after each atom.
Sites, in units of the cell vectors:
Er  0.2500  0.2500  0.2500  4 Gd 3.35, 4 Mg 3.35
Mg  0.0000  0.0000  0.0000  8 Er 3.35
Gd  0.5000  0.5000  0.5000  8 Er 3.35
Er  0.7500  0.7500  0.7500  4 Gd 3.35, 4 Mg 3.35

Results
The calculation puts the formation enthalpy at 0 K at 0.070 eV per atom. As for the volume: 29.0 Å³/atom. Its raw total energy is -6.13 eV per atom. Its space-group type is No. 225. As for the total magnetization: 7.52 μB per formula unit.


No. 2
Entry from Alexandria: a relaxed structure of BiSeI2 (PBE).

Lattice parameters (Å, degrees): 5.5400 5.5400 5.5400 60.00 60.00 60.00
With the nearest neighbours (Å) after each atom.
Sites, in units of the cell vectors:
Bi  0.5000  0.5000  0.5000  8 I 3.39
I  0.2500  0.2500  0.2500  4 Se 3.39, 4 Bi 3.39
I  0.7500  0.7500  0.7500  4 Bi 3.39, 4 Se 3.39
Se  0.0000  0.0000  0.0000  8 I 3.39

Results
The calculation puts the uncorrected formation energy at 0.3186 eV/atom. As for the volume: 30.1 Å³/atom. Its raw total energy is -2.30 eV per atom. Its space-group type is No. 225. As for the total magnetization: 1.00 μB per formula unit.


No. 3
Entry from Alexandria: a relaxed structure of Ba2OsBr (PBE).

Lattice parameters (Å, degrees): 4.5111 4.5111 8.7448 75.07 75.07 59.79
With the nearest neighbours (Å) after each atom.
Sites, in units of the cell vectors:
Ba  0.9899  0.9899  0.0323  3 Os 3.17, 3 Br 3.51-3.52
Ba  0.5101  0.5101  0.4677  3 Os 3.17, 3 Br 3.51-3.52
Br  0.7500  0.7500  0.7500  6 Ba 3.51-3.52
Os  0.2500  0.2500  0.2500  6 Ba 3.17

Results
The calculation puts the uncorrected formation energy at -0.1546 eV/atom. As for the volume: 36.7 Å³/atom. Its raw total energy is -4.34 eV per atom. Its space-group type is No. 12. As for the total magnetization: 1.02 μB per formula unit.


No. 4
Entry from Alexandria: a relaxed structure of BaBeP2 (PBE).

Lattice parameters (Å, degrees): 6.0528 6.0528 6.0528 39.70 39.70 39.70
With the nearest neighbours (Å) after each atom.
Sites, in units of the cell vectors:
Be  0.7500  0.7500  0.7500  6 P 2.42
Ba  0.2500  0.2500  0.2500  8 P 3.25-3.32
P  0.4444  0.4444  0.4444  3 Be 2.42, 3 P 2.55
P  0.0556  0.0556  0.0556  3 Be 2.42, 3 P 2.55

Results
The calculation puts the formation enthalpy at 0 K at -0.259 eV per atom. As for the volume: 20.4 Å³/atom. Its raw total energy is -4.38 eV per atom. Its space-group type is No. 166. As for the total magnetization: 0.00 μB per formula unit.